# Na2BiTeO6

A geometry-optimized Na2BiTeO6 structure (PBE, Alexandria). Values from VASP.

Geometry as Quantum ESPRESSO input:
```
&SYSTEM
  ibrav = 0, nat = 10, ntyp = 4
/
ATOMIC_SPECIES
Na 22.99 Na.upf
Bi 208.98 Bi.upf
Te 127.60 Te.upf
O 16.00 O.upf
ATOMIC_POSITIONS crystal
Na 0.000 0.000 0.000
Na 0.499 0.499 0.499
Bi 0.233 0.233 0.233
Te 0.730 0.730 0.730
O 0.056 0.488 0.865
O 0.399 0.946 0.595
O 0.488 0.865 0.056
O 0.595 0.399 0.946
O 0.865 0.056 0.488
O 0.946 0.595 0.399
CELL_PARAMETERS angstrom
2.859 1.651 4.750
-2.859 1.651 4.750
0.000 -3.301 4.750
```

Values from the calculation:
ΔE_f (raw): -1248 meV/atom
D(E_F): 3.63 states/eV/cell